Record 1
Sm2As3Rh6: relaxed, PBE.

Results
Uncorrected energy ... -75.58 eV/cell
Formation enthalpy at 0 K ... -735 meV per atom

abc: 7.2287 7.2287 4.3341
angles: 90.00 90.00 120.00
Closest atoms and distances in Å follow each position.
Element x y z (fractional)
Sm: 0.3333 0.6667 0.0000  3 Rh 2.92, 6 As 3.12
Sm: 0.6667 0.3333 0.0000  3 Rh 2.92, 6 As 3.12
As: 0.0000 0.6140 0.5000  5 Rh 2.45-2.49
As: 0.3860 0.3860 0.5000  5 Rh 2.45-2.49
As: 0.6140 0.0000 0.5000  5 Rh 2.45-2.49
Rh: 0.0000 0.2751 0.5000  3 As 2.45-2.49
Rh: 0.0000 0.7821 0.0000  2 As 2.48, 2 Rh 2.73
Rh: 0.2179 0.2179 0.0000  2 As 2.48, 2 Rh 2.73
Rh: 0.2751 0.0000 0.5000  3 As 2.45-2.49
Rh: 0.7249 0.7249 0.5000  3 As 2.45-2.49
Rh: 0.7821 0.0000 0.0000  2 As 2.48, 2 Rh 2.73

Record 2
SmAs2Rh: relaxed, PBE.

Results
Uncorrected energy ... -25.00 eV/cell
Formation enthalpy at 0 K ... -908 meV per atom

abc: 6.0603 6.0603 6.0603
angles: 39.15 39.15 39.15
Closest atoms and distances in Å follow each position.
Element x y z (fractional)
Sm: 0.0000 0.0000 0.0000  6 As 2.92
As: 0.2296 0.2296 0.2296  3 Rh 2.57
As: 0.7704 0.7704 0.7704  3 Rh 2.57
Rh: 0.5000 0.5000 0.5000  6 As 2.57

Record 3
Sm3As4Rh4: relaxed, PBE.

Results
Relative energy among the computed polymorphs ... 0.000 eV/atom
Uncorrected energy ... -73.62 eV/cell
Formation enthalpy at 0 K ... -1042 meV per atom

abc: 12.9340 12.9340 12.9340
angles: 162.14 161.13 26.10
Closest atoms and distances in Å follow each position.
Element x y z (fractional)
Sm: 0.0000 0.0000 0.0000  4 Rh 3.14, 8 As 3.19
Sm: 0.3534 0.8534 0.5000  6 As 3.13-3.14, 8 Rh 3.19-3.34
Sm: 0.6466 0.1466 0.5000  6 As 3.13-3.14, 8 Rh 3.19-3.34
As: 0.1919 0.6919 0.5000  5 Rh 2.42-2.59
As: 0.4487 0.4487 0.0000  2 Rh 2.40, 1 As 2.58
As: 0.5513 0.5513 0.0000  2 Rh 2.40, 1 As 2.58
As: 0.8081 0.3081 0.5000  5 Rh 2.42-2.59
Rh: 0.0958 0.5958 0.5000  3 As 2.40-2.42
Rh: 0.2491 0.2491 0.0000  4 As 2.47-2.59
Rh: 0.7509 0.7509 0.0000  4 As 2.47-2.59
Rh: 0.9042 0.4042 0.5000  3 As 2.40-2.42

Record 4
SmAsRh2: relaxed, PBE.

Results
Uncorrected energy ... -26.92 eV/cell
Formation enthalpy at 0 K ... -713 meV per atom

abc: 5.4635 5.4635 5.4635
angles: 45.96 45.96 45.96
Closest atoms and distances in Å follow each position.
Element x y z (fractional)
Sm: 0.0000 0.0000 0.0000  8 Rh 3.05-3.07
As: 0.5000 0.5000 0.5000  6 Rh 2.54
Rh: 0.2083 0.2083 0.2083  3 As 2.54, 3 Rh 2.75
Rh: 0.7917 0.7917 0.7917  3 As 2.54, 3 Rh 2.75

Record 5
Sm2As2Rh5: relaxed, PBE.

Results
Uncorrected energy ... -62.42 eV/cell
Formation enthalpy at 0 K ... -770 meV per atom

abc: 4.2669 4.2669 8.8832
angles: 90.00 90.00 90.00
Closest atoms and distances in Å follow each position.
Element x y z (fractional)
Sm: 0.0000 0.0000 0.0000  8 Rh 3.19, 8 As 3.29
Sm: 0.0000 0.0000 0.5000  12 Rh 2.97-3.02
As: 0.5000 0.5000 0.1489  4 Rh 2.38, 1 As 2.65
As: 0.5000 0.5000 0.8511  4 Rh 2.38, 1 As 2.65
Rh: 0.0000 0.5000 0.2675  2 As 2.38
Rh: 0.0000 0.5000 0.7325  2 As 2.38
Rh: 0.5000 0.0000 0.2675  2 As 2.38
Rh: 0.5000 0.0000 0.7325  2 As 2.38
Rh: 0.5000 0.5000 0.5000  8 Rh 2.97, 4 Sm 3.02, 2 As 3.12

Record 6
Sm3AsRh: relaxed, PBE.

Results
Uncorrected energy ... -119.39 eV/cell
Formation enthalpy at 0 K ... -738 meV per atom

abc: 9.8349 9.8349 6.3491
angles: 90.00 90.00 116.41
Closest atoms and distances in Å follow each position.
Element x y z (fractional)
Sm: 0.0674 0.4326 0.7500  1 Rh 2.76
Sm: 0.1183 0.8817 0.7518  2 Rh 2.65
Sm: 0.2488 0.2488 0.5000  2 Rh 3.00, 2 Sm 3.17, 4 As 3.25-3.26
Sm: 0.2512 0.2512 0.0000  2 Rh 3.00, 2 Sm 3.17, 4 As 3.25-3.26
Sm: 0.3817 0.6183 0.2518  2 Rh 2.65
Sm: 0.4326 0.0674 0.2500  1 Rh 2.76
Sm: 0.5674 0.9326 0.7500  1 Rh 2.76
Sm: 0.6183 0.3817 0.7482  2 Rh 2.65
Sm: 0.7488 0.7488 0.0000  2 Rh 3.00, 2 Sm 3.17, 4 As 3.25-3.26
Sm: 0.7512 0.7512 0.5000  2 Rh 3.00, 2 Sm 3.17, 4 As 3.25-3.26
Sm: 0.8817 0.1183 0.2482  2 Rh 2.65
Sm: 0.9326 0.5674 0.2500  1 Rh 2.76
As: 0.0699 0.9301 0.2498  9 Sm 3.15-3.29
As: 0.4301 0.5699 0.7498  9 Sm 3.15-3.29
As: 0.5699 0.4301 0.2502  9 Sm 3.15-3.29
As: 0.9301 0.0699 0.7502  9 Sm 3.15-3.29
Rh: 0.0979 0.4021 0.2500  3 Sm 2.65-2.76
Rh: 0.4021 0.0979 0.7500  3 Sm 2.65-2.76
Rh: 0.5979 0.9021 0.2500  3 Sm 2.65-2.76
Rh: 0.9021 0.5979 0.7500  3 Sm 2.65-2.76

Record 7
Sm3As4Rh7: relaxed, PBE.

Results
Uncorrected energy ... -96.74 eV/cell
Formation enthalpy at 0 K ... -895 meV per atom

abc: 8.0077 8.0077 9.4896
angles: 123.66 123.66 29.60
Closest atoms and distances in Å follow each position.
Element x y z (fractional)
Sm: 0.0000 0.0000 0.0000  6 As 2.93-3.14
Sm: 0.3305 0.3305 0.3351  9 Rh 2.97-3.11, 4 As 3.03-3.05
Sm: 0.6695 0.6695 0.6649  9 Rh 2.97-3.11, 4 As 3.03-3.05
As: 0.1094 0.1094 0.8302  6 Rh 2.50-2.63
As: 0.3343 0.3343 0.7281  5 Rh 2.48-2.54
As: 0.6657 0.6657 0.2719  5 Rh 2.48-2.54
As: 0.8906 0.8906 0.1698  6 Rh 2.50-2.63
Rh: 0.0000 0.0000 0.5000  2 As 2.57
Rh: 0.1667 0.1667 0.4249  3 As 2.50-2.54
Rh: 0.3029 0.3029 0.9600  4 As 2.50-2.63
Rh: 0.4917 0.4917 0.7203  3 As 2.48-2.53
Rh: 0.5083 0.5083 0.2797  3 As 2.48-2.53
Rh: 0.6971 0.6971 0.0400  4 As 2.50-2.63
Rh: 0.8333 0.8333 0.5751  3 As 2.50-2.54

Record 8
Sm3As4Rh4: relaxed, PBE.

Results
Relative energy among the computed polymorphs ... 0.013 eV/atom
Uncorrected energy ... -73.48 eV/cell
Formation enthalpy at 0 K ... -1029 meV per atom

abc: 8.0775 8.0775 8.0775
angles: 150.23 127.18 61.82
Closest atoms and distances in Å follow each position.
Element x y z (fractional)
Sm: 0.0000 0.0000 0.0000  6 As 2.95-3.00
Sm: 0.3749 0.8749 0.5000  6 As 3.02-3.09, 6 Rh 3.07-3.09
Sm: 0.6251 0.1251 0.5000  6 As 3.02-3.09, 6 Rh 3.07-3.09
As: 0.2166 0.2166 0.0000  6 Rh 2.59
As: 0.2927 0.5000 0.7927  2 Rh 2.55
As: 0.7073 0.5000 0.2073  2 Rh 2.55
As: 0.7834 0.7834 0.0000  6 Rh 2.59
Rh: 0.0240 0.3218 0.7022  4 As 2.55-2.59
Rh: 0.3804 0.6782 0.7022  4 As 2.55-2.59
Rh: 0.6196 0.3218 0.2978  4 As 2.55-2.59
Rh: 0.9760 0.6782 0.2978  4 As 2.55-2.59